Computed, not measured: ScHg2 at its PBEsol-relaxed geometry at the meta-GGA SCAN level of DFT.

```
data_ScHg2
_chemical_formula_sum 'Sc4 Hg8'
_symmetry_space_group_name_H-M 'P 1'
_symmetry_Int_Tables_number 1
_symmetry_space_group_name_Hall 'P 1'
_cell_length_a 3.544
_cell_length_b 14.193
_cell_length_c 4.963
_cell_angle_alpha 90.00
_cell_angle_beta 90.00
_cell_angle_gamma 90.00
loop_
_atom_site_label
_atom_site_type_symbol
_atom_site_fract_x
_atom_site_fract_y
_atom_site_fract_z
Sc1 Sc 0.000 0.106 0.250
Sc2 Sc 0.000 0.894 0.750
Sc3 Sc 0.500 0.394 0.750
Sc4 Sc 0.500 0.606 0.250
Hg1 Hg 0.000 0.229 0.750
Hg2 Hg 0.000 0.440 0.250
Hg3 Hg 0.000 0.560 0.750
Hg4 Hg 0.000 0.771 0.250
Hg5 Hg 0.500 0.060 0.750
Hg6 Hg 0.500 0.271 0.250
Hg7 Hg 0.500 0.729 0.750
Hg8 Hg 0.500 0.940 0.250
```

As for the total energy: -50.646 eV/atom. The value obtained for the density is 11.9 Mg/m³.